No. 1
# SmY3Te4

An optimized crystal structure of SmY3Te4 (PBE, Alexandria).

abc: 7.624 7.624 4.339
angles: 90.00 90.00 108.91
Fractional positions:
Sm1 0.000 0.000 0.000
Y1 0.000 0.500 0.500
Y2 0.500 0.000 0.500
Y3 0.500 0.500 0.000
Te1 0.252 0.748 0.000
Te2 0.254 0.254 0.500
Te3 0.746 0.746 0.500
Te4 0.748 0.252 0.000

symmetry: No. 65
crystal system: orthorhombic

=====

No. 2
# SmY2Te

An optimized crystal structure of SmY2Te (PBE, Alexandria).

abc: 3.880 3.880 7.976
angles: 90.00 90.00 90.00
Fractional positions:
Sm1 0.000 0.000 0.000
Y1 0.500 0.500 0.279
Y2 0.500 0.500 0.721
Te1 0.000 0.000 0.500

symmetry: No. 123
crystal system: tetragonal
ΔE to the lowest computed polymorph: 0.114 eV/atom

=====

No. 3
# SmY2Te

An optimized crystal structure of SmY2Te (PBE, Alexandria).

abc: 10.093 10.093 10.093
angles: 22.35 22.35 22.35
Fractional positions:
Sm1 0.000 0.000 0.000
Y1 0.237 0.237 0.237
Y2 0.429 0.429 0.429
Te1 0.833 0.833 0.833

symmetry: No. 160
crystal system: trigonal
ΔE to the lowest computed polymorph: 0.126 eV/atom

=====

No. 4
# SmY2Te3

An optimized crystal structure of SmY2Te3 (PBE, Alexandria).

abc: 7.599 7.599 7.599
angles: 146.23 131.93 60.04
Fractional positions:
Sm1 0.000 0.000 0.000
Y1 0.340 0.340 0.000
Y2 0.660 0.660 0.000
Te1 0.172 0.672 0.500
Te2 0.500 0.000 0.500
Te3 0.828 0.328 0.500

symmetry: No. 71
crystal system: orthorhombic

=====

No. 5
# Sm2Zn2Te

An optimized crystal structure of Sm2Zn2Te (PBE, Alexandria).

abc: 8.001 8.001 8.001
angles: 31.94 31.94 31.94
Fractional positions:
Sm1 0.083 0.083 0.083
Sm2 0.917 0.917 0.917
Zn1 0.332 0.332 0.332
Zn2 0.668 0.668 0.668
Te1 0.500 0.500 0.500

symmetry: No. 166
crystal system: trigonal

=====

No. 6
# Sm3ZnTe2

An optimized crystal structure of Sm3ZnTe2 (PBE, Alexandria).

abc: 8.033 8.033 4.372
angles: 90.00 90.00 134.92
Fractional positions:
Sm1 0.000 0.000 0.000
Sm2 0.364 0.636 0.500
Sm3 0.636 0.364 0.500
Zn1 0.500 0.500 0.000
Te1 0.154 0.846 0.500
Te2 0.846 0.154 0.500

symmetry: No. 65
crystal system: orthorhombic
ΔE to the lowest computed polymorph: 0.153 eV/atom

=====

No. 7
# Sm3ZnTe2

An optimized crystal structure of Sm3ZnTe2 (PBE, Alexandria).

abc: 7.523 7.523 7.726
angles: 99.37 99.37 120.16
Fractional positions:
Sm1 0.079 0.419 0.760
Sm2 0.237 0.237 0.236
Sm3 0.419 0.079 0.760
Sm4 0.581 0.921 0.240
Sm5 0.763 0.763 0.764
Sm6 0.921 0.581 0.240
Zn1 0.168 0.832 0.000
Zn2 0.832 0.168 0.000
Te1 0.000 0.000 0.500
Te2 0.339 0.661 0.500
Te3 0.500 0.500 0.000
Te4 0.661 0.339 0.500

symmetry: No. 12
crystal system: monoclinic
ΔE to the lowest computed polymorph: 0.000 eV/atom

=====

No. 8
# Sm7Zn2Te2

An optimized crystal structure of Sm7Zn2Te2 (PBE, Alexandria).

abc: 9.438 9.438 9.438
angles: 155.15 74.85 110.72
Fractional positions:
Sm1 0.000 0.000 0.000
Sm2 0.278 0.398 0.880
Sm3 0.332 0.640 0.692
Sm4 0.518 0.398 0.120
Sm5 0.617 0.236 0.381
Sm6 0.855 0.236 0.619
Sm7 0.948 0.640 0.308
Zn1 0.235 0.735 0.500
Zn2 0.622 0.622 0.000
Te1 0.133 0.917 0.216
Te2 0.701 0.917 0.784

symmetry: No. 44
crystal system: orthorhombic

=====

No. 9
# Sm3ZnTe6

An optimized crystal structure of Sm3ZnTe6 (PBE, Alexandria).

abc: 9.780 9.780 7.222
angles: 90.00 90.00 101.79
Fractional positions:
Sm1 0.110 0.890 0.500
Sm2 0.226 0.427 0.403
Sm3 0.427 0.226 0.903
Sm4 0.573 0.774 0.403
Sm5 0.774 0.573 0.903
Sm6 0.890 0.110 0.000
Zn1 0.294 0.706 0.856
Zn2 0.706 0.294 0.356
Te1 0.059 0.588 0.682
Te2 0.135 0.188 0.700
Te3 0.188 0.135 0.200
Te4 0.274 0.726 0.220
Te5 0.412 0.941 0.682
Te6 0.460 0.540 0.718
Te7 0.540 0.460 0.218
Te8 0.588 0.059 0.182
Te9 0.726 0.274 0.720
Te10 0.812 0.865 0.700
Te11 0.865 0.812 0.200
Te12 0.941 0.412 0.182

symmetry: No. 36
crystal system: orthorhombic

=====

No. 10
# Sm4ZnTe

An optimized crystal structure of Sm4ZnTe (PBE, Alexandria).

abc: 6.198 6.538 8.569
angles: 90.00 91.57 90.00
Fractional positions:
Sm1 0.113 0.250 0.354
Sm2 0.158 0.750 0.061
Sm3 0.364 0.004 0.690
Sm4 0.364 0.496 0.690
Sm5 0.636 0.504 0.310
Sm6 0.636 0.996 0.310
Sm7 0.842 0.250 0.939
Sm8 0.887 0.750 0.646
Zn1 0.213 0.750 0.399
Zn2 0.787 0.250 0.601
Te1 0.335 0.250 0.028
Te2 0.665 0.750 0.972

symmetry: No. 11
crystal system: monoclinic

=====

No. 11
# Sm5ZnTe2

An optimized crystal structure of Sm5ZnTe2 (PBE, Alexandria).

abc: 7.147 7.147 13.227
angles: 90.00 90.00 129.54
Fractional positions:
Sm1 0.054 0.946 0.613
Sm2 0.054 0.946 0.887
Sm3 0.366 0.634 0.250
Sm4 0.378 0.622 0.566
Sm5 0.378 0.622 0.934
Sm6 0.622 0.378 0.066
Sm7 0.622 0.378 0.434
Sm8 0.634 0.366 0.750
Sm9 0.946 0.054 0.113
Sm10 0.946 0.054 0.387
Zn1 0.238 0.762 0.750
Zn2 0.762 0.238 0.250
Te1 0.186 0.814 0.089
Te2 0.186 0.814 0.411
Te3 0.814 0.186 0.589
Te4 0.814 0.186 0.911

symmetry: No. 63
crystal system: orthorhombic

=====

No. 12
# Sm3Zn5Te12

An optimized crystal structure of Sm3Zn5Te12 (PBE, Alexandria).

abc: 14.839 14.839 14.839
angles: 109.47 109.47 109.47
Fractional positions:
Sm1 0.125 0.250 0.375
Sm2 0.125 0.375 0.750
Sm3 0.250 0.375 0.125
Sm4 0.250 0.875 0.625
Sm5 0.375 0.125 0.250
Sm6 0.375 0.750 0.125
Sm7 0.625 0.250 0.875
Sm8 0.625 0.875 0.750
Sm9 0.750 0.125 0.375
Sm10 0.750 0.625 0.875
Sm11 0.875 0.625 0.250
Sm12 0.875 0.750 0.625
Zn1 0.000 0.000 0.000
Zn2 0.000 0.000 0.500
Zn3 0.000 0.500 0.000
Zn4 0.000 0.500 0.500
Zn5 0.125 0.750 0.875
Zn6 0.125 0.875 0.250
Zn7 0.250 0.125 0.875
Zn8 0.250 0.625 0.375
Zn9 0.375 0.250 0.625
Zn10 0.375 0.625 0.750
Zn11 0.500 0.000 0.000
Zn12 0.500 0.000 0.500
Zn13 0.500 0.500 0.000
Zn14 0.500 0.500 0.500
Zn15 0.625 0.375 0.250
Zn16 0.625 0.750 0.375
Zn17 0.750 0.375 0.625
Zn18 0.750 0.875 0.125
Zn19 0.875 0.125 0.750
Zn20 0.875 0.250 0.125
Te1 0.038 0.215 0.125
Te2 0.038 0.323 0.913
Te3 0.087 0.625 0.410
Te4 0.087 0.962 0.677
Te5 0.090 0.715 0.677
Te6 0.090 0.875 0.413
Te7 0.125 0.038 0.215
Te8 0.125 0.587 0.910
Te9 0.177 0.215 0.590
Te10 0.177 0.462 0.587
Te11 0.215 0.125 0.038
Te12 0.215 0.590 0.177
Te13 0.285 0.323 0.910
Te14 0.285 0.462 0.375
Te15 0.323 0.910 0.285
Te16 0.323 0.913 0.038
Te17 0.375 0.285 0.462
Te18 0.375 0.590 0.913
Te19 0.410 0.087 0.625
Te20 0.410 0.823 0.785
Te21 0.413 0.090 0.875
Te22 0.413 0.823 0.538
Te23 0.462 0.375 0.285
Te24 0.462 0.587 0.177
Te25 0.538 0.413 0.823
Te26 0.538 0.625 0.715
Te27 0.587 0.177 0.462
Te28 0.587 0.910 0.125
Te29 0.590 0.177 0.215
Te30 0.590 0.913 0.375
Te31 0.625 0.410 0.087
Te32 0.625 0.715 0.538
Te33 0.677 0.087 0.962
Te34 0.677 0.090 0.715
Te35 0.715 0.538 0.625
Te36 0.715 0.677 0.090
Te37 0.785 0.410 0.823
Te38 0.785 0.875 0.962
Te39 0.823 0.538 0.413
Te40 0.823 0.785 0.410
Te41 0.875 0.413 0.090
Te42 0.875 0.962 0.785
Te43 0.910 0.125 0.587
Te44 0.910 0.285 0.323
Te45 0.913 0.038 0.323
Te46 0.913 0.375 0.590
Te47 0.962 0.677 0.087
Te48 0.962 0.785 0.875

symmetry: No. 230
crystal system: cubic

=====

The records above give, respectively, energy relative to the elements, uncorrected values of -1.33 -0.57 -0.56 -1.33 -0.78 -0.85 -1.01 -0.55 -1.09 -0.52 -0.51 -0.56 eV per atom.